Compound: Mn2FePt
Source: Alexandria via LeMat-Bulk
Functional: PBE
Structure: relaxed

a b c (Å): 2.6518 2.6518 25.3973
angles (deg): 90.00 90.00 120.00
Space group R3m (No. 160, hexagonal axes)
Symmetry-distinct sites (fractional):
1 Mn 0.0000 0.0000 0.0000
2 Mn 0.0000 0.0000 0.2554
3 Fe 0.0000 0.0000 0.7456
4 Pt 0.0000 0.0000 0.5001

As for the spin magnetization: 2.70 μB per formula unit. As for the crystal system: trigonal. As for the calculated formation energy: 4.8 kJ/mol of atoms.


Compound: Mn2FePt9
Source: Alexandria via LeMat-Bulk
Functional: PBE
Structure: relaxed

a b c (Å): 3.9273 3.9273 11.7836
angles (deg): 90.00 90.00 90.00
Space group P4/mmm (No. 123)
Symmetry-distinct sites (fractional):
1 Mn 0.0000 0.0000 0.1663
2 Fe 0.0000 0.0000 0.5000
3 Pt 0.0000 0.5000 0.0000
4 Pt 0.0000 0.5000 0.3357
5 Pt 0.5000 0.5000 0.1678
6 Pt 0.5000 0.5000 0.5000

As for the spin magnetization: 13.32 μB per formula unit. As for the crystal system: tetragonal. As for the calculated formation energy: -30.1 kJ/mol of atoms.